(1)
Below is a relaxed structure of Ni2SnCl, with properties calculated at the PBE level.

Cell lengths 5.852, 5.852, 9.175 Å; angles 90.00, 90.00, 90.00 degrees
Space group I-42d (No. 122)
One atom of each set of equivalent atoms:
Ni 0.207 0.250 0.125 [8 per cell]
Sn 0.000 0.000 0.500 [4 per cell]
Cl 0.000 0.000 0.000 [4 per cell]

Results
As for the raw total energy: -4.213 eV/atom. Its formation energy without anion corrections is 14 kJ/mol of atoms. The value obtained for the total moment is 0.00 μB/cell. As for the calculated volume: 78.6 Å³/f.u. Its density of states at the Fermi level is 12.69 states/eV/cell.

---

(2)
Below is a relaxed structure of NiSnCl4, with properties calculated at the PBE level.

Cell lengths 6.722, 6.722, 7.272 Å; angles 90.00, 90.00, 90.00 degrees
Space group I-4 (No. 82)
One atom of each set of equivalent atoms:
Ni 0.000 0.000 0.000 [2 per cell]
Sn 0.000 0.500 0.250 [2 per cell]
Cl 0.228 0.769 0.999 [8 per cell]

Results
As for the raw total energy: -3.556 eV/atom. Its formation energy without anion corrections is -67 kJ/mol of atoms. The value obtained for the total moment is 0.28 μB/cell. As for the calculated volume: 164.3 Å³/f.u.